{
  "formula": "CaY2Mg",
  "functional": "PBE",
  "state": "relaxed",
  "lattice_angstrom": [[1.809, 1.044, 11.513], [-1.809, 1.044, 11.513], [0.000, -2.089, 11.513]],
  "species": ["Ca", "Y", "Y", "Mg"],
  "fractional_positions": [[0.000, 0.000, 0.000], [0.575, 0.575, 0.575], [0.758, 0.758, 0.758], [0.166, 0.166, 0.166]],
  "volume_a3_per_fu": 130,
  "e_form_mev_per_atom": 82,
  "spacegroup": "No. 160"
}

{
  "formula": "Y3BiSe",
  "functional": "PBE",
  "state": "relaxed",
  "lattice_angstrom": [[8.833, 0.000, 0.000], [0.000, 4.192, 0.000], [0.000, 0.000, 15.044]],
  "species": ["Y", "Y", "Y", "Y", "Y", "Y", "Y", "Y", "Y", "Y", "Y", "Y", "Bi", "Bi", "Bi", "Bi", "Se", "Se", "Se", "Se"],
  "fractional_positions": [[0.030, 0.250, 0.114], [0.160, 0.250, 0.521], [0.204, 0.750, 0.278], [0.296, 0.250, 0.778], [0.340, 0.750, 0.021], [0.470, 0.750, 0.614], [0.530, 0.250, 0.386], [0.660, 0.250, 0.979], [0.704, 0.750, 0.222], [0.796, 0.250, 0.722], [0.840, 0.750, 0.479], [0.970, 0.750, 0.886], [0.067, 0.750, 0.675], [0.433, 0.250, 0.175], [0.567, 0.750, 0.825], [0.933, 0.250, 0.325], [0.165, 0.250, 0.945], [0.335, 0.750, 0.445], [0.665, 0.250, 0.555], [0.835, 0.750, 0.055]],
  "volume_a3_per_fu": 139,
  "e_form_raw_ev_per_atom": -1.07,
  "de_polymorph_mev_per_atom": 0,
  "spacegroup": "No. 62"
}

{
  "formula": "LuInSn",
  "functional": "PBE",
  "state": "relaxed",
  "lattice_angstrom": [[-1.866, 1.866, 5.569], [1.866, -1.866, 5.569], [1.866, 1.866, -5.569]],
  "species": ["Lu", "In", "Sn"],
  "fractional_positions": [[0.000, 0.000, 0.000], [0.672, 0.672, 0.000], [0.329, 0.329, 0.000]],
  "volume_a3_per_fu": 78,
  "e_form_mev_per_atom": -243,
  "de_polymorph_mev_per_atom": 42,
  "spacegroup": "No. 107"
}

{
  "formula": "CdSO2F",
  "functional": "PBE",
  "state": "relaxed",
  "lattice_angstrom": [[3.552, 0.000, 0.000], [0.000, 3.552, 0.000], [0.000, 0.000, 5.694]],
  "species": ["Cd", "S", "O", "O", "F"],
  "fractional_positions": [[0.000, 0.000, 0.000], [0.500, 0.500, 0.500], [0.000, 0.500, 0.500], [0.500, 0.000, 0.500], [0.500, 0.500, 0.000]],
  "volume_a3_per_fu": 72,
  "e_form_raw_ev_per_atom": -0.45,
  "spacegroup": "No. 123"
}

no.,total energy (eV for the cell shown)
1,-16.20
2,-128.50
3,-11.99
4,-19.10